# 1
Here is a relaxed structure of RbPaSe3 from OQMD via LeMat-Bulk. Energies are from GGA-PBE.

## Properties
- Electronic total energy: -5.58 eV/atom

Cell: 5.524 5.524 5.524 Å, 90.00 90.00 90.00°
Positions (direct):
Rb  0.000  0.000  0.000
Pa  0.500  0.500  0.500
Se  0.000  0.500  0.500
Se  0.500  0.000  0.500
Se  0.500  0.500  0.000

=====

# 2
Here is a relaxed structure of RbPaTlSe3 from OQMD via LeMat-Bulk. Energies are from GGA-PBE.

## Properties
- Electronic total energy: -4.93 eV/atom

Cell: 8.746 8.746 12.200 Å, 90.00 90.00 151.72°
Positions (direct):
Rb  0.176  0.824  0.750
Rb  0.824  0.176  0.250
Pa  0.500  0.500  0.000
Pa  0.500  0.500  0.500
Tl  0.128  0.872  0.250
Tl  0.872  0.128  0.750
Se  0.111  0.889  0.502
Se  0.111  0.889  0.998
Se  0.498  0.502  0.750
Se  0.502  0.498  0.250
Se  0.889  0.111  0.002
Se  0.889  0.111  0.498

=====

# 3
Here is a relaxed structure of RbSmPa from OQMD via LeMat-Bulk. Energies are from GGA-PBE.

## Properties
- Electronic total energy: -3.25 eV/atom

Cell: 5.764 5.764 5.764 Å, 60.00 60.00 60.00°
Positions (direct):
Rb  0.000  0.000  0.000
Sm  0.750  0.750  0.750
Pa  0.500  0.500  0.500

=====

# 4
Here is a relaxed structure of RbPaSn from OQMD via LeMat-Bulk. Energies are from GGA-PBE.

## Properties
- E above lowest polymorph: 0 meV/atom
- Electronic total energy: -3.98 eV/atom

Cell: 5.569 5.569 5.569 Å, 60.00 60.00 60.00°
Positions (direct):
Rb  0.000  0.000  0.000
Pa  0.500  0.500  0.500
Sn  0.250  0.250  0.250

=====

# 5
Here is a relaxed structure of RbPaTc from OQMD via LeMat-Bulk. Energies are from GGA-PBE.

## Properties
- Electronic total energy: -4.44 eV/atom

Cell: 5.662 5.662 5.662 Å, 60.00 60.00 60.00°
Positions (direct):
Rb  0.000  0.000  0.000
Pa  0.250  0.250  0.250
Tc  0.500  0.500  0.500

=====

# 6
Here is a relaxed structure of RbPaTe from OQMD via LeMat-Bulk. Energies are from GGA-PBE.

## Properties
- E above lowest polymorph: 0 meV/atom
- Electronic total energy: -3.99 eV/atom

Cell: 5.472 5.472 5.472 Å, 60.00 60.00 60.00°
Positions (direct):
Rb  0.000  0.000  0.000
Pa  0.500  0.500  0.500
Te  0.750  0.750  0.750

=====

# 7
Here is a relaxed structure of RbThPa from OQMD via LeMat-Bulk. Energies are from GGA-PBE.

## Properties
- Electronic total energy: -4.06 eV/atom

Cell: 5.486 5.486 5.486 Å, 60.00 60.00 60.00°
Positions (direct):
Rb  0.000  0.000  0.000
Th  0.500  0.500  0.500
Pa  0.250  0.250  0.250

=====

# 8
Here is a relaxed structure of Rb4Tm3Pa from OQMD via LeMat-Bulk. Energies are from GGA-PBE.

## Properties
- Electronic total energy: -1.68 eV/atom

Cell: 7.262 7.262 7.262 Å, 90.00 90.00 90.00°
Positions (direct):
Rb  0.000  0.000  0.000
Rb  0.000  0.500  0.500
Rb  0.500  0.000  0.500
Rb  0.500  0.500  0.000
Tm  0.000  0.000  0.500
Tm  0.000  0.500  0.000
Tm  0.500  0.000  0.000
Pa  0.500  0.500  0.500

=====

# 9
Here is a relaxed structure of RbYPa from OQMD via LeMat-Bulk. Energies are from GGA-PBE.

## Properties
- Electronic total energy: -3.73 eV/atom

Cell: 5.830 5.830 5.830 Å, 60.00 60.00 60.00°
Positions (direct):
Rb  0.000  0.000  0.000
Y  0.500  0.500  0.500
Pa  0.250  0.250  0.250

=====

# 10
Here is a relaxed structure of RbZrPa from OQMD via LeMat-Bulk. Energies are from GGA-PBE.

## Properties
- Electronic total energy: -4.24 eV/atom

Cell: 5.457 5.457 5.457 Å, 60.00 60.00 60.00°
Positions (direct):
Rb  0.000  0.000  0.000
Zr  0.500  0.500  0.500
Pa  0.250  0.250  0.250

=====

# 11
Here is a relaxed structure of PaRe from OQMD via LeMat-Bulk. Energies are from GGA-PBE.

## Properties
- Energy relative to the elements: 340 meV per atom
- Electronic total energy: -10.62 eV/atom

Cell: 3.167 3.167 4.607 Å, 90.00 90.00 120.00°
Positions (direct):
Pa  0.000  0.000  0.000
Re  0.667  0.333  0.500

=====

# 12
Here is a relaxed structure of PaRe2 from OQMD via LeMat-Bulk. Energies are from GGA-PBE.

## Properties
- E above lowest polymorph: 0 meV/atom
- Energy relative to the elements: -144 meV per atom
- Electronic total energy: -11.59 eV/atom

Cell: 5.417 5.417 5.417 Å, 60.00 60.00 60.00°
Positions (direct):
Pa  0.125  0.125  0.125
Pa  0.875  0.875  0.875
Re  0.000  0.500  0.500
Re  0.500  0.000  0.500
Re  0.500  0.500  0.000
Re  0.500  0.500  0.500

=====

> Which formula does entry 1 have?

RbPaSe3